A plane-wave DFT calculation with GGA-PBE was carried out for a relaxed structure of PuMg2Bi2.

Calculated values
VASP energy   -52.9 eV per cell
Space group   No. 63

```
10
Lattice="2.2665 -13.0513 0.0000 2.2665 13.0513 0.0000 0.0000 0.0000 4.5796" Properties=species:S:1:pos:R:3 pbc="T T T"
Pu 2.2665 9.0424 3.4347
Pu 2.2665 -9.0424 1.1449
Mg 2.2665 11.9660 1.1449
Mg 2.2665 1.1534 1.1449
Mg 2.2665 -1.1534 3.4347
Mg 2.2665 -11.9660 3.4347
Bi 2.2665 6.5319 1.1449
Bi 2.2665 3.2848 3.4347
Bi 2.2665 -3.2848 1.1449
Bi 2.2665 -6.5319 3.4347
```